Record 1
A relaxed structure of KGaHg2F4, computed with PBE.

The structure belongs to space group P1 (No. 1); the cell edges are 6.9796, 6.9881 and 7.0047 Å and the angles 91.22°, 119.14° and 119.03°. The asymmetric unit holds K at (0.0000, 0.0000, 0.0000), Ga at (0.4986, 0.2510, 0.7475), Hg at (0.5010, 0.7494, 0.2522), Hg at (0.9988, 0.5045, 0.4956), F at (0.2551, 0.1552, 0.8139), F at (0.3357, 0.1861, 0.4392), F at (0.6608, 0.1031, 0.8450) and F at (0.7425, 0.5591, 0.8921).

As for the formation energy (no corrections): -1.990 eV/atom. Its total magnetic moment is 0.0 Bohr magnetons per cell.

***

Record 2
A relaxed structure of PmSm2Hg8, computed with PBE.

The structure belongs to space group Immm (No. 71); the cell edges are 5.1818, 7.4267 and 14.8426 Å and the angles 90.00°, 90.00° and 90.00°. The asymmetric unit holds Pm at (0.0000, 0.0000, 0.0000), Sm at (0.0000, 0.0000, 0.3081), Hg at (0.0000, 0.2096, 0.5000), Hg at (0.0000, 0.2877, 0.1480) and Hg at (0.0000, 0.5000, 0.3425).

The formation energy comes out at -338 meV per atom. For the polymorph energy (0 for the lowest one), the calculation gives 10.3 meV/atom. Its total magnetic moment is 0.0 Bohr magnetons per cell.

***

Record 3
A relaxed structure of ScAu, computed with PBE.

The structure belongs to space group I4/mmm (No. 139); the cell edges are 8.5551, 8.5551 and 4.6361 Å and the angles 90.00°, 90.00° and 90.00°. The asymmetric unit holds Sc at (0.0000, 0.2929, 0.0000) and Au at (0.1714, 0.1714, 0.5000).

The formation energy comes out at -617 meV per atom. Its total magnetic moment is 0.0 Bohr magnetons per cell.

***

Record 4
A relaxed structure of CuBiRh2, computed with PBE.

The structure belongs to space group I-42d (No. 122); the cell edges are 3.9998, 3.9998 and 18.1207 Å and the angles 90.00°, 90.00° and 90.00°. The asymmetric unit holds Cu at (0.0000, 0.0000, 0.0000), Bi at (0.0000, 0.0000, 0.5000) and Rh at (0.2035, 0.2500, 0.1250).

The formation energy comes out at 292 meV per atom. Its total magnetic moment is 0.0 Bohr magnetons per cell.

***

| no. | D(E_F) (states/eV/f.u.) |
| --- | --- |
| 1 | 0.00 |
| 2 | 6.13 |
| 3 | 2.33 |
| 4 | 4.00 |